[1]
The following is a PBE-GGA calculation of a relaxed YTl3Ge2Te6 crystal, from the Alexandria database.

Unit cell a=7.660 b=7.660 c=8.013 alpha=99.15 beta=99.15 gamma=119.85
Fractional positions:
Te 0.071 0.412 0.214
Te 0.929 0.588 0.786
Te 0.588 0.929 0.786
Te 0.270 0.270 0.788
Te 0.730 0.730 0.212
Te 0.412 0.071 0.214
Ge 0.668 0.332 0.000
Ge 0.332 0.668 0.000
Tl 0.838 0.162 0.500
Tl 0.500 0.500 0.500
Tl 0.162 0.838 0.500
Y 0.000 0.000 0.000

DOS(E_F) ... 12.04 states/eV per cell
Calculated total energy ... -3.878 eV per atom
ΔE_f (raw) ... -0.41 eV per atom
Space-group type ... No. 12

[2]
The following is a PBE-GGA calculation of a relaxed Y2Tl3GeTe6 crystal, from the Alexandria database.

Unit cell a=4.390 b=9.473 c=10.463 alpha=107.39 beta=102.11 gamma=90.00
Fractional positions:
Te 0.345 0.897 0.689
Te 0.655 0.103 0.311
Te 0.675 0.569 0.349
Te 0.993 0.775 0.986
Te 0.325 0.431 0.651
Te 0.007 0.225 0.014
Tl 0.168 0.842 0.337
Tl 0.500 0.500 0.000
Tl 0.832 0.158 0.663
Ge 0.500 0.000 0.000
Y 0.166 0.335 0.332
Y 0.834 0.665 0.668

DOS(E_F) ... 6.76 states/eV per cell
Calculated total energy ... -4.362 eV per atom
ΔE_f (raw) ... -0.74 eV per atom
Space-group type ... No. 12

[3]
The following is a PBE-GGA calculation of a relaxed YTlGeTe3 crystal, from the Alexandria database.

Unit cell a=4.273 b=8.945 c=11.590 alpha=107.41 beta=90.00 gamma=90.00
Fractional positions:
Te 0.250 0.620 0.890
Te 0.750 0.902 0.218
Te 0.750 0.338 0.567
Te 0.250 0.662 0.433
Te 0.250 0.098 0.782
Te 0.750 0.380 0.110
Ge 0.750 0.878 0.446
Ge 0.250 0.122 0.554
Tl 0.250 0.244 0.286
Tl 0.750 0.756 0.714
Y 0.250 0.640 0.160
Y 0.750 0.360 0.840

Calculated total energy ... -4.529 eV per atom
ΔE_f (raw) ... -0.72 eV per atom
Space-group type ... No. 11